Entry 1:
This record from Alexandria via LeMat-Bulk describes a PBEsol-optimized structure of YBr3. The functional is meta-GGA SCAN.

Output
ΔE_f (raw): -2.030 eV/atom

a = 6.328 Å, b = 7.065 Å, c = 10.178 Å
α = 90.00°, β = 90.00°, γ = 90.00°
Fractional coordinates of all 16 atoms:
Br 0.665 0.459 0.250
Br 0.819 0.665 0.575
Br 0.181 0.335 0.425
Br 0.681 0.165 0.575
Y 0.433 0.122 0.250
Br 0.181 0.335 0.075
Br 0.819 0.665 0.925
Br 0.319 0.835 0.425
Br 0.165 0.041 0.750
Y 0.067 0.622 0.250
Br 0.335 0.541 0.750
Br 0.319 0.835 0.075
Y 0.933 0.378 0.750
Y 0.567 0.878 0.750
Br 0.835 0.959 0.250
Br 0.681 0.165 0.925

---

Entry 2:
This record from Alexandria via LeMat-Bulk describes a PBEsol-optimized structure of Y2Br3. The functional is meta-GGA SCAN.

Output
ΔE_f (raw): -1.726 eV/atom

a = 3.861 Å, b = 8.368 Å, c = 10.665 Å
α = 119.19°, β = 90.00°, γ = 103.34°
Fractional coordinates of all 10 atoms:
Br 0.955 0.911 0.267
Br 0.045 0.089 0.733
Y 0.418 0.837 0.047
Br 0.659 0.318 0.509
Br 0.773 0.545 0.880
Br 0.341 0.682 0.491
Y 0.582 0.163 0.953
Y 0.136 0.272 0.287
Y 0.864 0.728 0.713
Br 0.227 0.455 0.120

---

Entry 3:
This record from Alexandria via LeMat-Bulk describes a PBEsol-optimized structure of YBr3. The functional is meta-GGA SCAN.

Output
ΔE_f (raw): -2.057 eV/atom

a = 4.034 Å, b = 5.520 Å, c = 7.231 Å
α = 112.51°, β = 90.00°, γ = 90.00°
Fractional coordinates of all 4 atoms:
Br 0.000 0.143 0.786
Br 0.500 0.500 0.500
Y 0.500 0.000 0.500
Br 0.000 0.857 0.214

---

Entry 4:
This record from Alexandria via LeMat-Bulk describes a PBEsol-optimized structure of YZnBr. The functional is meta-GGA SCAN.

Output
ΔE_f (raw): -0.497 eV/atom

a = 3.657 Å, b = 4.819 Å, c = 4.819 Å
α = 120.00°, β = 90.00°, γ = 90.00°
Site moments in Bohr magnetons follow the coordinates.
Fractional coordinates of all 3 atoms:
Zn 0.500 0.667 0.333  0.02
Y 0.000 0.333 0.667  0.12
Br 0.000 0.000 0.000  0.00

---

Entry 5:
This record from Alexandria via LeMat-Bulk describes a PBEsol-optimized structure of YZnBr2. The functional is meta-GGA SCAN.

Output
ΔE_f (raw): -0.746 eV/atom

a = 3.870 Å, b = 4.398 Å, c = 5.385 Å
α = 90.00°, β = 90.00°, γ = 90.00°
Fractional coordinates of all 4 atoms:
Y 0.500 0.500 0.000
Zn 0.000 0.500 0.500
Br 0.000 0.000 0.000
Br 0.500 0.000 0.500

---

Entry 6:
This record from Alexandria via LeMat-Bulk describes a PBEsol-optimized structure of Zn3Br. The functional is meta-GGA SCAN.

Output
ΔE_f (raw): -0.017 eV/atom

a = 3.482 Å, b = 4.576 Å, c = 5.897 Å
α = 72.61°, β = 72.83°, γ = 67.64°
Fractional coordinates of all 4 atoms:
Zn 0.746 0.853 0.654
Zn 0.500 0.500 0.500
Br 0.000 0.000 0.000
Zn 0.254 0.147 0.346

---

Entry 7:
This record from Alexandria via LeMat-Bulk describes a PBEsol-optimized structure of ZnBr3. The functional is meta-GGA SCAN.

Output
ΔE_f (raw): -0.429 eV/atom

a = 3.540 Å, b = 3.540 Å, c = 10.247 Å
α = 80.05°, β = 80.05°, γ = 60.00°
Site moments in Bohr magnetons follow the coordinates.
Fractional coordinates of all 4 atoms:
Zn 0.000 0.000 0.000  0.00
Br 0.718 0.718 0.846  0.00
Br 0.500 0.500 0.500  0.71
Br 0.282 0.282 0.154  0.00

---

Entry 8:
This record from Alexandria via LeMat-Bulk describes a PBEsol-optimized structure of Zn3Br2. The functional is meta-GGA SCAN.

Output
ΔE_f (raw): -0.130 eV/atom

a = 3.778 Å, b = 3.778 Å, c = 8.939 Å
α = 90.00°, β = 90.00°, γ = 120.00°
Fractional coordinates of all 5 atoms:
Zn 0.667 0.333 0.566
Zn 0.000 0.000 0.000
Br 0.333 0.667 0.827
Br 0.667 0.333 0.173
Zn 0.333 0.667 0.434

---

Entry 9:
This record from Alexandria via LeMat-Bulk describes a PBEsol-optimized structure of ZnBr5. The functional is meta-GGA SCAN.

Output
ΔE_f (raw): -0.221 eV/atom

a = 3.589 Å, b = 6.766 Å, c = 7.463 Å
α = 90.00°, β = 90.00°, γ = 105.38°
Fractional coordinates of all 6 atoms:
Br 0.233 0.465 0.500
Br 0.494 0.987 0.500
Br 0.359 0.718 0.000
Zn 0.863 0.727 0.500
Br 0.027 0.053 0.000
Br 0.692 0.383 0.000

---

Entry 10:
This record from Alexandria via LeMat-Bulk describes a PBEsol-optimized structure of ZrZn2Br. The functional is meta-GGA SCAN.

Output
E above lowest polymorph: 0.271 eV per atom
ΔE_f (raw): -0.056 eV/atom

a = 3.499 Å, b = 3.499 Å, c = 6.246 Å
α = 90.00°, β = 90.00°, γ = 90.00°
Fractional coordinates of all 4 atoms:
Zr 0.500 0.500 0.000
Zn 0.000 0.000 0.773
Br 0.500 0.500 0.500
Zn 0.000 0.000 0.227

---

Entry 11:
This record from Alexandria via LeMat-Bulk describes a PBEsol-optimized structure of ZrZn2Br. The functional is meta-GGA SCAN.

Output
E above lowest polymorph: 0.000 eV per atom
ΔE_f (raw): -0.326 eV/atom

a = 3.163 Å, b = 3.163 Å, c = 8.037 Å
α = 90.00°, β = 90.00°, γ = 90.00°
Fractional coordinates of all 4 atoms:
Zr 0.000 0.000 0.477
Zn 0.500 0.500 0.243
Zn 0.000 0.000 0.088
Br 0.500 0.500 0.692

---

Entry 12:
This record from Alexandria via LeMat-Bulk describes a PBEsol-optimized structure of ZrZn2Br. The functional is meta-GGA SCAN.

Output
E above lowest polymorph: 0.254 eV per atom
ΔE_f (raw): -0.072 eV/atom

a = 3.272 Å, b = 4.960 Å, c = 5.555 Å
α = 116.51°, β = 107.13°, γ = 90.00°
Fractional coordinates of all 4 atoms:
Br 0.233 0.733 0.467
Zn 0.017 0.017 0.033
Zr 0.502 0.502 0.003
Zn 0.748 0.248 0.497

---

Entry 13:
This record from Alexandria via LeMat-Bulk describes a PBEsol-optimized structure of ZrBr4. The functional is meta-GGA SCAN.

Output
ΔE_f (raw): -1.466 eV/atom

a = 11.578 Å, b = 11.578 Å, c = 11.578 Å
α = 90.00°, β = 90.00°, γ = 90.00°
Fractional coordinates of all 40 atoms:
Br 0.751 0.009 0.497
Zr 0.371 0.871 0.629
Br 0.749 0.991 0.997
Br 0.503 0.251 0.491
Zr 0.871 0.871 0.871
Br 0.249 0.991 0.503
Zr 0.629 0.371 0.871
Br 0.503 0.249 0.991
Br 0.997 0.751 0.491
Br 0.003 0.251 0.009
Br 0.749 0.509 0.497
Zr 0.871 0.629 0.371
Br 0.251 0.009 0.003
Br 0.497 0.751 0.009
Br 0.752 0.248 0.748
Br 0.752 0.252 0.248
Br 0.991 0.503 0.249
Br 0.249 0.509 0.003
Br 0.248 0.748 0.752
Br 0.252 0.248 0.752
Br 0.751 0.491 0.997
Br 0.497 0.749 0.509
Zr 0.129 0.371 0.629
Br 0.251 0.491 0.503
Br 0.491 0.503 0.251
Br 0.509 0.003 0.249
Br 0.509 0.497 0.749
Zr 0.629 0.129 0.371
Zr 0.371 0.629 0.129
Br 0.003 0.249 0.509
Br 0.252 0.252 0.252
Br 0.991 0.997 0.749
Br 0.748 0.748 0.748
Zr 0.129 0.129 0.129
Br 0.491 0.997 0.751
Br 0.248 0.752 0.252
Br 0.997 0.749 0.991
Br 0.009 0.497 0.751
Br 0.748 0.752 0.248
Br 0.009 0.003 0.251

---

Entry 14:
This record from Alexandria via LeMat-Bulk describes a PBEsol-optimized structure of ZrBr. The functional is meta-GGA SCAN.

Output
E above lowest polymorph: 0.087 eV per atom
ΔE_f (raw): -1.041 eV/atom

a = 3.394 Å, b = 3.394 Å, c = 9.731 Å
α = 90.00°, β = 90.00°, γ = 120.00°
Site moments in Bohr magnetons follow the coordinates.
Fractional coordinates of all 4 atoms:
Br 0.667 0.333 0.824  0.00
Zr 0.667 0.333 0.373  0.08
Br 0.333 0.667 0.176  0.00
Zr 0.333 0.667 0.627  0.08